# GaPF (PBE-GGA, optimized geometry)
data_GaPF
_chemical_formula_sum 'Ga2 P2 F2'
_cell_length_a 4.076
_cell_length_b 4.991
_cell_length_c 5.374
_cell_angle_alpha 86.23
_cell_angle_beta 82.55
_cell_angle_gamma 75.19
_symmetry_space_group_name_H-M 'P 1'
_symmetry_Int_Tables_number 1
_symmetry_space_group_name_Hall 'P 1'
loop_
_atom_site_label
_atom_site_fract_x
_atom_site_fract_y
_atom_site_fract_z
Ga1 0.000 0.000 0.000
Ga2 0.226 0.469 0.484
P1 0.417 0.263 0.085
P2 0.427 0.621 0.823
F1 0.015 0.180 0.618
F2 0.891 0.760 0.341
# total DFT energy (no corrections) = -4.619 eV/atom
# energy relative to the elements, uncorrected = -1183 meV/atom
# V = 17.46 Å³ per atom
# offset from the most stable computed form = 0.068 eV/atom